A plane-wave DFT calculation with PBE-GGA was carried out for a relaxed HoTlNi crystal.

As for the total magnetic moment: 0.33 μB/f.u. As for the calculated total energy: -3.9201 eV/atom. Its volume is 292.13 Å³/cell.

The space group is F-43m (No. 216) and the conventional cell measures 6.635, 6.635 and 6.635 Å, with angles of 90.00, 90.00 and 90.00 degrees. The distinct sites, in fractional coordinates, are Ho at (0.000, 0.000, 0.000), Tl at (0.250, 0.250, 0.250) and Ni at (0.000, 0.000, 0.500).